This record from Alexandria describes an optimized crystal structure of Tb4Ho5Cd2. The functional is PBE.

Properties
The calculation puts the energy of formation from the pure elements at 16 kJ/mol of formula units. As for the space-group type: No. 10.

The structure in CIF format:
```
data_Tb4Ho5Cd2
_chemical_formula_sum 'Tb4 Ho5 Cd2'
_symmetry_space_group_name_H-M 'P 1'
_symmetry_Int_Tables_number 1
_cell_length_a 3.464
_cell_length_b 8.540
_cell_length_c 11.155
_cell_angle_alpha 93.48
_cell_angle_beta 90.00
_cell_angle_gamma 90.00
loop_
_symmetry_equiv_pos_as_xyz
'x,y,z'
loop_
_atom_site_label
_atom_site_type_symbol
_atom_site_fract_x
_atom_site_fract_y
_atom_site_fract_z
Tb1 Tb 0.500 0.724 0.549
Tb2 Tb 0.500 0.146 0.883
Tb3 Tb 0.500 0.276 0.451
Tb4 Tb 0.500 0.854 0.117
Ho1 Ho 0.000 0.569 0.295
Ho2 Ho 0.000 0.204 0.167
Ho3 Ho 0.000 0.500 0.000
Ho4 Ho 0.000 0.796 0.833
Ho5 Ho 0.000 0.431 0.705
Cd1 Cd 0.000 0.055 0.633
Cd2 Cd 0.000 0.945 0.367
```

---

This record from Alexandria describes an optimized crystal structure of Tb2Ho3Cd. The functional is PBE.

Properties
The calculation puts the energy of formation from the pure elements at -53 kJ/mol of formula units. As for the space-group type: No. 123. The value obtained for the relative energy among the computed polymorphs is 0.0 kJ/mol of atoms.

The structure in CIF format:
```
data_Tb2Ho3Cd
_chemical_formula_sum 'Tb2 Ho3 Cd1'
_symmetry_space_group_name_H-M 'P 1'
_symmetry_Int_Tables_number 1
_cell_length_a 3.551
_cell_length_b 3.551
_cell_length_c 14.126
_cell_angle_alpha 90.00
_cell_angle_beta 90.00
_cell_angle_gamma 90.00
loop_
_symmetry_equiv_pos_as_xyz
'x,y,z'
loop_
_atom_site_label
_atom_site_type_symbol
_atom_site_fract_x
_atom_site_fract_y
_atom_site_fract_z
Tb1 Tb 0.500 0.500 0.823
Tb2 Tb 0.500 0.500 0.177
Ho1 Ho 0.000 0.000 0.000
Ho2 Ho 0.000 0.000 0.646
Ho3 Ho 0.000 0.000 0.354
Cd1 Cd 0.500 0.500 0.500
```

---

This record from Alexandria describes an optimized crystal structure of Tb4Ho3Cd. The functional is PBE.

Properties
The calculation puts the energy of formation from the pure elements at -49 kJ/mol of formula units. As for the space-group type: No. 123. The value obtained for the relative energy among the computed polymorphs is 0.0 kJ/mol of atoms.

The structure in CIF format:
```
data_Tb4Ho3Cd
_chemical_formula_sum 'Tb4 Ho3 Cd1'
_symmetry_space_group_name_H-M 'P 1'
_symmetry_Int_Tables_number 1
_cell_length_a 3.556
_cell_length_b 3.556
_cell_length_c 19.150
_cell_angle_alpha 90.00
_cell_angle_beta 90.00
_cell_angle_gamma 90.00
loop_
_symmetry_equiv_pos_as_xyz
'x,y,z'
loop_
_atom_site_label
_atom_site_type_symbol
_atom_site_fract_x
_atom_site_fract_y
_atom_site_fract_z
Tb1 Tb 0.000 0.000 0.890
Tb2 Tb 0.000 0.000 0.110
Tb3 Tb 0.000 0.000 0.370
Tb4 Tb 0.000 0.000 0.630
Ho1 Ho 0.500 0.500 0.239
Ho2 Ho 0.500 0.500 0.500
Ho3 Ho 0.500 0.500 0.761
Cd1 Cd 0.500 0.500 0.000
```

---

This record from Alexandria describes an optimized crystal structure of TbHoCd4. The functional is PBE.

Properties
The calculation puts the energy of formation from the pure elements at -182 kJ/mol of formula units. As for the space-group type: No. 10. The value obtained for the relative energy among the computed polymorphs is 0.0 kJ/mol of atoms.

The structure in CIF format:
```
data_TbHoCd4
_chemical_formula_sum 'Tb1 Ho1 Cd4'
_symmetry_space_group_name_H-M 'P 1'
_symmetry_Int_Tables_number 1
_cell_length_a 3.421
_cell_length_b 6.043
_cell_length_c 8.628
_cell_angle_alpha 90.00
_cell_angle_beta 90.00
_cell_angle_gamma 55.43
loop_
_symmetry_equiv_pos_as_xyz
'x,y,z'
loop_
_atom_site_label
_atom_site_type_symbol
_atom_site_fract_x
_atom_site_fract_y
_atom_site_fract_z
Tb1 Tb 0.501 0.497 0.998
Ho1 Ho 0.001 0.997 0.498
Cd1 Cd 0.501 0.997 0.166
Cd2 Cd 0.501 0.997 0.831
Cd3 Cd 0.001 0.497 0.664
Cd4 Cd 0.001 0.497 0.332
```

---

The calculation returns the following ρ values, one per record and in order: 8.494; 8.626; 8.523; 8.744 g/cm³.
The calculation returns the following spin magnetization values, one per record and in order: 0.003; 0.000; 0.000; 0.000 μB per cell.